No. 1
KGeMoRh2: single point on PBEsol structure, SCAN.

Geometry as extended XYZ:
```
5
Lattice="4.5511 0.0000 0.0000 0.0000 4.5511 0.0000 0.0000 0.0000 5.1920" Properties=species:S:1:pos:R:3 pbc="T T T"
K 0.0000 0.0000 0.0000
Ge 0.0000 0.0000 2.5960
Mo 2.2755 2.2755 0.0000
Rh 0.0000 2.2755 2.5960
Rh 2.2755 0.0000 2.5960
```

Results
electronic total energy	-24.854	eV/atom
density	6.38	g cm⁻³
symmetry	P4/mmm

---

No. 2
TaRhAu2: single point on PBEsol structure, SCAN.

Geometry as extended XYZ:
```
4
Lattice="2.8912 0.0000 0.0000 0.0000 2.8912 0.0000 0.0000 0.0000 7.6769" Properties=species:S:1:pos:R:3 pbc="T T T"
Ta 0.0000 0.0000 0.0000
Rh 0.0000 0.0000 3.8385
Au 1.4456 1.4456 1.9525
Au 1.4456 1.4456 5.7244
```

Results
offset from the most stable computed form	250.8	meV/atom
density	17.54	g cm⁻³
symmetry	P4/mmm

---

No. 3
RbGaSnSe4: single point on PBEsol structure, SCAN.

Geometry as extended XYZ:
```
56
Lattice="7.4144 0.0000 0.0000 0.0000 12.7949 0.0000 -2.4763 0.0000 18.1376" Properties=species:S:1:pos:R:3 pbc="T T T"
Rb 0.7669 0.8599 5.8559
Rb -0.4713 5.5376 14.9247
Rb -0.5219 1.2738 17.2157
Rb 0.7162 5.1236 8.1469
Rb 4.2219 7.6712 9.9908
Rb 5.4600 11.5211 0.9220
Rb 5.4094 7.2573 3.2129
Rb 4.1712 11.9350 12.2818
Ga -0.7572 9.5556 6.3065
Ga -1.9954 9.6367 15.3753
Ga 3.0701 3.1896 2.4471
Ga 1.8320 3.2078 11.5160
Ga 3.1061 9.5870 6.6217
Ga 1.8680 9.6052 15.6905
Ga 6.9335 3.1581 2.7623
Ga 5.6953 3.2393 11.8312
Sn 0.2248 9.0649 12.4849
Sn 1.4629 10.1273 3.4160
Sn 2.0988 8.6746 0.3322
Sn 0.8606 10.5177 9.4010
Sn 4.0775 2.2772 8.7367
Sn 2.8393 4.1202 17.8055
Sn 3.4752 2.6675 14.7216
Sn 4.7133 3.7299 5.6528
Se -2.1690 7.7814 16.9232
Se -0.9308 11.4109 7.8544
Se -1.5517 2.1503 14.0339
Se -0.3136 4.2471 4.9651
Se 1.2939 1.5792 2.5083
Se 0.0558 4.8182 11.5771
Se 0.4752 8.0572 10.0912
Se 1.7133 11.1351 1.0224
Se 1.1902 8.1736 6.3967
Se -0.0479 11.0187 15.4656
Se 1.8183 7.6849 2.7019
Se 0.5801 11.5074 11.7707
Se 1.6674 1.9082 9.4418
Se 2.9055 4.4892 0.3729
Se 1.7071 1.5623 13.2959
Se 2.9452 4.8351 4.2271
Se 1.9929 7.9597 13.9105
Se 3.2310 11.2325 4.8417
Se 2.0326 8.3057 17.7647
Se 3.2708 10.8866 8.6959
Se 4.3580 1.2875 6.3669
Se 3.1198 5.1100 15.4357
Se 4.9861 1.7761 2.6721
Se 3.7479 4.6213 11.7409
Se 3.2248 1.6598 17.1153
Se 4.4630 4.7376 8.0464
Se 4.8824 7.9767 6.5605
Se 3.6442 11.2156 15.6293
Se 5.2517 8.5478 13.1726
Se 6.4899 10.6445 4.1037
Se 5.8690 1.3840 10.2832
Se 7.1071 5.0134 1.2144
```

Results
electronic total energy	-22.702	eV/atom
density	4.55	g cm⁻³
symmetry	P2_1/c

---

No. 4
Mn2CdBiI: single point on PBEsol structure, SCAN.

Geometry as extended XYZ:
```
5
Lattice="5.2127 0.0000 0.0000 0.0000 5.2127 0.0000 0.0000 0.0000 6.2528" Properties=species:S:1:pos:R:3 pbc="T T T"
Mn 0.0000 2.6063 0.0000
Mn 2.6063 0.0000 0.0000
Cd 0.0000 0.0000 3.1264
Bi 2.6063 2.6063 0.0000
I 2.6063 2.6063 3.1264
```

Results
electronic total energy	-35.819	eV/atom
density	5.46	g cm⁻³
symmetry	P4/mmm

---

No. 5
KCu2S2: single point on PBEsol structure, SCAN.

Geometry as extended XYZ:
```
10
Lattice="3.7721 0.0000 0.0000 0.0000 3.7721 0.0000 0.0000 0.0000 12.8894" Properties=species:S:1:pos:R:3 pbc="T T T"
K 0.0000 0.0000 0.0000
K 1.8861 1.8861 6.4447
Cu 0.0000 1.8861 3.2223
Cu 0.0000 1.8861 9.6670
Cu 1.8861 0.0000 3.2223
Cu 1.8861 0.0000 9.6670
S 0.0000 0.0000 4.5665
S 0.0000 0.0000 8.3229
S 1.8861 1.8861 1.8782
S 1.8861 1.8861 11.0111
```

Results
electronic total energy	-12.283	eV/atom
density	4.17	g cm⁻³
symmetry	I4/mmm

---

No. 6
Ba2ScW: single point on PBEsol structure, SCAN.

Geometry as extended XYZ:
```
16
Lattice="7.6470 0.0000 0.0000 0.0000 7.6470 0.0000 0.0000 0.0000 7.6470" Properties=species:S:1:pos:R:3 pbc="T T T"
Ba 1.9117 1.9117 1.9117
Ba 1.9117 1.9117 5.7352
Ba 1.9117 5.7352 1.9117
Ba 1.9117 5.7352 5.7352
Ba 5.7352 1.9117 1.9117
Ba 5.7352 1.9117 5.7352
Ba 5.7352 5.7352 1.9117
Ba 5.7352 5.7352 5.7352
Sc 0.0000 0.0000 0.0000
Sc 0.0000 3.8235 3.8235
Sc 3.8235 0.0000 3.8235
Sc 3.8235 3.8235 0.0000
W 0.0000 0.0000 3.8235
W 0.0000 3.8235 0.0000
W 3.8235 0.0000 0.0000
W 3.8235 3.8235 3.8235
```

Results
offset from the most stable computed form	333.1	meV/atom
density	7.48	g cm⁻³
symmetry	Fm-3m